Entry from Alexandria via LeMat-Bulk: KCo2Au after structural relaxation (GGA-PBEsol).

```
KCo2Au
1.0
2.641 0.000 0.000
0.000 5.139 -0.019
0.000 -1.970 4.751
K Co Au
1 2 1
direct
0.500 0.500 0.000
0.000 0.000 0.000
0.500 0.000 0.500
0.000 0.500 0.500
```

Results
**Offset from the most stable computed form**: 1.99 eV/f.u.
**Formation enthalpy at 0 K**: 933 meV per atom
**Space-group type**: P2/m (10)

=====

Entry from Alexandria via LeMat-Bulk: KCo2Au after structural relaxation (GGA-PBEsol).

```
KCo2Au
1.0
2.620 0.000 0.000
0.000 5.173 -0.105
0.000 -2.011 4.767
Co Au K
2 1 1
direct
0.000 0.500 0.000
0.000 0.000 0.500
0.500 0.500 0.500
0.500 0.000 0.000
```

Results
**Offset from the most stable computed form**: 2.16 eV/f.u.
**Formation enthalpy at 0 K**: 976 meV per atom
**Space-group type**: Cmmm (65)

=====

Entry from Alexandria via LeMat-Bulk: La2CoAu after structural relaxation (GGA-PBEsol).

```
La2CoAu
1.0
-3.404 -0.395 2.066
-3.273 -1.441 -1.794
-0.313 -7.289 1.965
Au Co La
1 1 2
direct
0.000 0.000 0.000
0.500 0.500 0.500
0.763 0.763 0.712
0.237 0.237 0.288
```

Results
**Formation enthalpy at 0 K**: -321 meV per atom
**Space-group type**: R-3m (166)

=====

Entry from Alexandria via LeMat-Bulk: LaCoAu2 after structural relaxation (GGA-PBEsol).

```
LaCoAu2
1.0
-2.033 1.767 3.551
-2.087 -0.106 -3.940
0.260 -4.761 2.519
Au La Co
2 1 1
direct
0.778 0.555 0.333
0.039 0.077 0.116
0.249 0.498 0.749
0.434 0.869 0.303
```

Results
**Formation enthalpy at 0 K**: -314 meV per atom
**Space-group type**: R3m (160)

=====

Entry from Alexandria via LeMat-Bulk: La2CoAu after structural relaxation (GGA-PBEsol).

```
La2CoAu
1.0
3.555 0.000 0.000
0.000 3.586 -0.005
0.000 -0.924 7.174
La Au Co
2 1 1
direct
0.000 0.070 0.775
0.000 0.930 0.225
0.500 0.500 0.500
0.500 0.500 0.000
```

Results
**Formation enthalpy at 0 K**: -338 meV per atom
**Space-group type**: P2/m (10)

=====

Entry from Alexandria via LeMat-Bulk: La2CoAu after structural relaxation (GGA-PBEsol).

```
La2CoAu
1.0
3.620 0.000 0.000
0.000 5.054 0.000
0.000 0.000 5.054
La Co Au
2 1 1
direct
0.000 0.000 0.500
0.000 0.500 0.000
0.500 0.000 0.000
0.500 0.500 0.500
```

Results
**Formation enthalpy at 0 K**: -271 meV per atom
**Space-group type**: P4/mmm (123)